# 1
# RbPa2Br8, relaxed, DFT GGA-PBE
data_RbPa2Br8
_symmetry_space_group_name_H-M 'P 1'
_symmetry_Int_Tables_number 1
_symmetry_space_group_name_Hall 'P 1'
_cell_length_a 5.7948
_cell_length_b 10.2645
_cell_length_c 10.2662
_cell_angle_alpha 120.00
_cell_angle_beta 90.00
_cell_angle_gamma 90.00
loop_
_atom_site_label
_atom_site_type_symbol
_atom_site_fract_x
_atom_site_fract_y
_atom_site_fract_z
Rb1 Rb 0.0000 0.0000 0.0000
Pa1 Pa 0.2608 0.3333 0.6667
Pa2 Pa 0.7392 0.6667 0.3333
Br1 Br 0.2383 0.6666 0.3333
Br2 Br 0.7617 0.3334 0.6667
Br3 Br 0.7347 0.8195 0.1776
Br4 Br 0.2653 0.1776 0.3582
Br5 Br 0.2653 0.6418 0.8195
Br6 Br 0.2653 0.1805 0.8223
Br7 Br 0.7347 0.8223 0.6418
Br8 Br 0.7347 0.3582 0.1805
# final energy = -4.38 eV per atom
# distance to the lowest polymorph of the same formula = 0.0987 eV/atom
# symmetry = No. 147
# DOS at the Fermi energy = 1.4451 states/eV/atom
# theoretical density = 3.7 Mg/m³

---

# 2
# RbZn3As, relaxed, DFT GGA-PBE
data_RbZn3As
_symmetry_space_group_name_H-M 'P 1'
_symmetry_Int_Tables_number 1
_symmetry_space_group_name_Hall 'P 1'
_cell_length_a 6.5572
_cell_length_b 6.5572
_cell_length_c 6.5572
_cell_angle_alpha 90.00
_cell_angle_beta 90.00
_cell_angle_gamma 90.00
loop_
_atom_site_label
_atom_site_type_symbol
_atom_site_fract_x
_atom_site_fract_y
_atom_site_fract_z
As1 As 0.5000 0.5000 0.5000
Zn1 Zn 0.0000 0.5000 0.0000
Zn2 Zn 0.0000 0.0000 0.5000
Zn3 Zn 0.5000 0.0000 0.0000
Rb1 Rb 0.0000 0.0000 0.0000
# final energy = -0.78 eV per atom
# distance to the lowest polymorph of the same formula = 0.8706 eV/atom
# symmetry = No. 221
# energy relative to the elements = 1.112 eV per atom
# DOS at the Fermi energy = 1.3337 states/eV/atom
# theoretical density = 2.1 Mg/m³

---

# 3
# Er2Si4Ir3, relaxed, DFT GGA-PBE
data_Er2Si4Ir3
_symmetry_space_group_name_H-M 'P 1'
_symmetry_Int_Tables_number 1
_symmetry_space_group_name_Hall 'P 1'
_cell_length_a 5.5941
_cell_length_b 7.1565
_cell_length_c 7.8267
_cell_angle_alpha 90.00
_cell_angle_beta 110.94
_cell_angle_gamma 90.00
loop_
_atom_site_label
_atom_site_type_symbol
_atom_site_fract_x
_atom_site_fract_y
_atom_site_fract_z
Er1 Er 0.1060 0.5943 0.2121
Er2 Er 0.8940 0.4057 0.7879
Er3 Er 0.3940 0.0943 0.7879
Er4 Er 0.6060 0.9057 0.2121
Si1 Si 0.6874 0.7500 0.8749
Si2 Si 0.8126 0.2500 0.1251
Si3 Si 0.3126 0.2500 0.1251
Si4 Si 0.1874 0.7500 0.8749
Si5 Si 0.1798 0.9752 0.3597
Si6 Si 0.8202 0.0248 0.6403
Si7 Si 0.3202 0.4752 0.6403
Si8 Si 0.6798 0.5248 0.3597
Ir1 Ir 0.0000 0.0000 0.0000
Ir2 Ir 0.5000 0.5000 0.0000
Ir3 Ir 0.5207 0.7500 0.5414
Ir4 Ir 0.9793 0.2500 0.4586
Ir5 Ir 0.4793 0.2500 0.4586
Ir6 Ir 0.0207 0.7500 0.5414
# final energy = -7.33 eV per atom
# distance to the lowest polymorph of the same formula = 0.0000 eV/atom
# symmetry = No. 64
# DOS at the Fermi energy = 0.3687 states/eV/atom
# theoretical density = 11.6 Mg/m³

---

# 4
# Tb6ZnCo2, relaxed, DFT GGA-PBE
data_Tb6ZnCo2
_symmetry_space_group_name_H-M 'P 1'
_symmetry_Int_Tables_number 1
_symmetry_space_group_name_Hall 'P 1'
_cell_length_a 8.2976
_cell_length_b 8.2976
_cell_length_c 8.2976
_cell_angle_alpha 106.91
_cell_angle_beta 109.66
_cell_angle_gamma 111.88
loop_
_atom_site_label
_atom_site_type_symbol
_atom_site_fract_x
_atom_site_fract_y
_atom_site_fract_z
Tb1 Tb 0.5418 0.7212 0.8206
Tb2 Tb 0.4582 0.2788 0.1794
Tb3 Tb 0.0994 0.2788 0.8206
Tb4 Tb 0.9006 0.7212 0.1794
Tb5 Tb 0.8051 0.7612 0.5663
Tb6 Tb 0.1949 0.2388 0.4337
Tb7 Tb 0.1949 0.7612 0.9560
Tb8 Tb 0.8051 0.2388 0.0440
Tb9 Tb 0.6869 0.3616 0.6748
Tb10 Tb 0.3131 0.6384 0.3252
Tb11 Tb 0.3131 0.9879 0.6748
Tb12 Tb 0.6869 0.0121 0.3252
Zn1 Zn 0.0000 0.5000 0.5000
Zn2 Zn 0.0000 0.0000 0.0000
Co1 Co 0.5000 0.3858 0.8858
Co2 Co 0.5000 0.6142 0.1142
Co3 Co 0.6669 0.0000 0.6669
Co4 Co 0.3331 0.0000 0.3331
# final energy = -5.01 eV per atom
# distance to the lowest polymorph of the same formula = 0.0000 eV/atom
# symmetry = No. 71
# energy relative to the elements = -0.201 eV per atom
# DOS at the Fermi energy = 0.9977 states/eV/atom
# theoretical density = 8.6 Mg/m³

---

# 5
# ErCo22B6, relaxed, DFT GGA-PBE
data_ErCo22B6
_symmetry_space_group_name_H-M 'P 1'
_symmetry_Int_Tables_number 1
_symmetry_space_group_name_Hall 'P 1'
_cell_length_a 7.4545
_cell_length_b 7.4545
_cell_length_c 7.4545
_cell_angle_alpha 60.00
_cell_angle_beta 60.00
_cell_angle_gamma 60.00
loop_
_atom_site_label
_atom_site_type_symbol
_atom_site_fract_x
_atom_site_fract_y
_atom_site_fract_z
Er1 Er 0.0000 0.0000 0.0000
Co1 Co 0.7500 0.7500 0.7500
Co2 Co 0.2500 0.2500 0.2500
Co3 Co 0.6186 0.6186 0.1441
Co4 Co 0.6186 0.6186 0.6186
Co5 Co 0.6186 0.1441 0.6186
Co6 Co 0.1441 0.6186 0.6186
Co7 Co 0.3814 0.3814 0.8559
Co8 Co 0.3814 0.3814 0.3814
Co9 Co 0.3814 0.8559 0.3814
Co10 Co 0.8559 0.3814 0.3814
Co11 Co 0.6517 0.0000 0.3483
Co12 Co 0.0000 0.6517 0.3483
Co13 Co 0.0000 0.0000 0.3483
Co14 Co 0.0000 0.6517 0.0000
Co15 Co 0.6517 0.0000 0.0000
Co16 Co 0.0000 0.0000 0.6517
Co17 Co 0.0000 0.3483 0.0000
Co18 Co 0.0000 0.3483 0.6517
Co19 Co 0.6517 0.3483 0.0000
Co20 Co 0.3483 0.0000 0.6517
Co21 Co 0.3483 0.0000 0.0000
Co22 Co 0.3483 0.6517 0.0000
B1 B 0.2726 0.7274 0.2726
B2 B 0.7274 0.2726 0.2726
B3 B 0.7274 0.7274 0.2726
B4 B 0.7274 0.2726 0.7274
B5 B 0.2726 0.7274 0.7274
B6 B 0.2726 0.2726 0.7274
# final energy = -7.05 eV per atom
# symmetry = No. 225
# energy relative to the elements = -0.122 eV per atom
# DOS at the Fermi energy = 1.0331 states/eV/atom
# theoretical density = 8.7 Mg/m³

---

# 6
# LiSmPa2As4, relaxed, DFT GGA-PBE
data_LiSmPa2As4
_symmetry_space_group_name_H-M 'P 1'
_symmetry_Int_Tables_number 1
_symmetry_space_group_name_Hall 'P 1'
_cell_length_a 4.1462
_cell_length_b 7.0444
_cell_length_c 7.1696
_cell_angle_alpha 70.21
_cell_angle_beta 90.00
_cell_angle_gamma 90.00
loop_
_atom_site_label
_atom_site_type_symbol
_atom_site_fract_x
_atom_site_fract_y
_atom_site_fract_z
Li1 Li 0.5000 0.5000 0.0000
Sm1 Sm 0.0000 0.5000 0.5000
Pa1 Pa 0.0000 0.0000 0.0000
Pa2 Pa 0.5000 0.0000 0.5000
As1 As 0.0000 0.7609 0.7495
As2 As 0.0000 0.2391 0.2505
As3 As 0.5000 0.7577 0.2427
As4 As 0.5000 0.2423 0.7573
# final energy = -6.55 eV per atom
# symmetry = No. 10
# energy relative to the elements = -1.021 eV per atom
# DOS at the Fermi energy = 0.8441 states/eV/atom
# theoretical density = 7.7 Mg/m³

---

# 7
# BSbH, relaxed, DFT GGA-PBE
data_BSbH
_symmetry_space_group_name_H-M 'P 1'
_symmetry_Int_Tables_number 1
_symmetry_space_group_name_Hall 'P 1'
_cell_length_a 7.6002
_cell_length_b 3.1374
_cell_length_c 8.2308
_cell_angle_alpha 90.00
_cell_angle_beta 101.57
_cell_angle_gamma 90.00
loop_
_atom_site_label
_atom_site_type_symbol
_atom_site_fract_x
_atom_site_fract_y
_atom_site_fract_z
B1 B 0.0192 0.0000 0.9879
B2 B 0.0192 0.5000 0.4879
B3 B 0.9735 0.0000 0.5349
B4 B 0.9735 0.5000 0.0349
Sb1 Sb 0.7975 0.0000 0.7453
Sb2 Sb 0.7975 0.5000 0.2453
Sb3 Sb 0.4271 0.0000 0.7815
Sb4 Sb 0.4271 0.5000 0.2815
H1 H 0.1504 0.0000 0.9189
H2 H 0.1504 0.5000 0.4189
H3 H 0.5108 0.0000 0.9964
H4 H 0.5108 0.5000 0.4964
# final energy = -4.38 eV per atom
# distance to the lowest polymorph of the same formula = 0.1719 eV/atom
# symmetry = No. 8
# DOS at the Fermi energy = 0.1880 states/eV/atom
# theoretical density = 4.6 Mg/m³

---

Q: The lowest DOS at the Fermi energy belongs to which entry?
A: BSbH

---

Q: Which of these has the highest DOS at the Fermi energy?
A: RbPa2Br8